VASP calculation (PBE) on crystalline TbSc2Pa at its relaxed geometry.

Geometry as CIF:
```
data_TbSc2Pa
_chemical_formula_sum 'Tb1 Sc2 Pa1'
_symmetry_space_group_name_H-M 'P 4/m m m'
_symmetry_Int_Tables_number 123
_symmetry_space_group_name_Hall '-P 4 2'
_cell_length_a 4.713
_cell_length_b 4.713
_cell_length_c 4.684
_cell_angle_alpha 90.00
_cell_angle_beta 90.00
_cell_angle_gamma 90.00
loop_
_atom_site_label
_atom_site_type_symbol
_atom_site_fract_x
_atom_site_fract_y
_atom_site_fract_z
_atom_site_occupancy
Tb1 Tb 0.000 0.000 0.000 1
Sc1 Sc 0.000 0.500 0.500 1
Pa1 Pa 0.500 0.500 0.000 1
```

Relative energy among the computed polymorphs (eV per atom): 0.097
ΔH_f (0 K) (eV/atom): 0.171
V (Å³/atom): 26.012


VASP calculation (PBE) on crystalline Tb2ScPa at its relaxed geometry.

Geometry as CIF:
```
data_Tb2ScPa
_chemical_formula_sum 'Tb2 Sc1 Pa1'
_symmetry_space_group_name_H-M 'P 4/m m m'
_symmetry_Int_Tables_number 123
_symmetry_space_group_name_Hall '-P 4 2'
_cell_length_a 3.349
_cell_length_b 3.349
_cell_length_c 10.000
_cell_angle_alpha 90.00
_cell_angle_beta 90.00
_cell_angle_gamma 90.00
loop_
_atom_site_label
_atom_site_type_symbol
_atom_site_fract_x
_atom_site_fract_y
_atom_site_fract_z
_atom_site_occupancy
Tb1 Tb 0.000 0.000 0.245 1
Sc1 Sc 0.500 0.500 0.500 1
Pa1 Pa 0.500 0.500 0.000 1
```

Relative energy among the computed polymorphs (eV per atom): 0.022
ΔH_f (0 K) (eV/atom): 0.147
V (Å³/atom): 28.037


VASP calculation (PBE) on crystalline TbThScPa at its relaxed geometry.

Geometry as CIF:
```
data_TbThScPa
_chemical_formula_sum 'Tb4 Th4 Sc4 Pa4'
_symmetry_space_group_name_H-M 'F -4 3 m'
_symmetry_Int_Tables_number 216
_symmetry_space_group_name_Hall 'F -4 2 3'
_cell_length_a 7.695
_cell_length_b 7.695
_cell_length_c 7.695
_cell_angle_alpha 90.00
_cell_angle_beta 90.00
_cell_angle_gamma 90.00
loop_
_atom_site_label
_atom_site_type_symbol
_atom_site_fract_x
_atom_site_fract_y
_atom_site_fract_z
_atom_site_occupancy
Tb1 Tb 0.000 0.000 0.000 1
Th1 Th 0.250 0.250 0.250 1
Sc1 Sc 0.250 0.250 0.750 1
Pa1 Pa 0.000 0.000 0.500 1
```

ΔH_f (0 K) (eV/atom): 0.336
V (Å³/atom): 28.474


VASP calculation (PBE) on crystalline TbTmScPa at its relaxed geometry.

Geometry as CIF:
```
data_TbTmScPa
_chemical_formula_sum 'Tb4 Tm4 Sc4 Pa4'
_symmetry_space_group_name_H-M 'F -4 3 m'
_symmetry_Int_Tables_number 216
_symmetry_space_group_name_Hall 'F -4 2 3'
_cell_length_a 7.650
_cell_length_b 7.650
_cell_length_c 7.650
_cell_angle_alpha 90.00
_cell_angle_beta 90.00
_cell_angle_gamma 90.00
loop_
_atom_site_label
_atom_site_type_symbol
_atom_site_fract_x
_atom_site_fract_y
_atom_site_fract_z
_atom_site_occupancy
Tb1 Tb 0.000 0.000 0.000 1
Tm1 Tm 0.250 0.250 0.750 1
Sc1 Sc 0.000 0.000 0.500 1
Pa1 Pa 0.250 0.250 0.250 1
```

ΔH_f (0 K) (eV/atom): 0.304
V (Å³/atom): 27.977


VASP calculation (PBE) on crystalline ScPaTc2 at its relaxed geometry.

Geometry as CIF:
```
data_ScPaTc2
_chemical_formula_sum 'Sc1 Pa1 Tc2'
_symmetry_space_group_name_H-M 'P 4/m m m'
_symmetry_Int_Tables_number 123
_symmetry_space_group_name_Hall '-P 4 2'
_cell_length_a 4.702
_cell_length_b 4.702
_cell_length_c 3.367
_cell_angle_alpha 90.00
_cell_angle_beta 90.00
_cell_angle_gamma 90.00
loop_
_atom_site_label
_atom_site_type_symbol
_atom_site_fract_x
_atom_site_fract_y
_atom_site_fract_z
_atom_site_occupancy
Sc1 Sc 0.000 0.000 0.000 1
Pa1 Pa 0.500 0.500 0.000 1
Tc1 Tc 0.000 0.500 0.500 1
```

Relative energy among the computed polymorphs (eV per atom): 0.028
ΔH_f (0 K) (eV/atom): -0.315
V (Å³/atom): 18.609


VASP calculation (PBE) on crystalline Sc2Pa3Tc4 at its relaxed geometry.

Geometry as CIF:
```
data_Sc2Pa3Tc4
_chemical_formula_sum 'Sc4 Pa6 Tc8'
_symmetry_space_group_name_H-M 'P -1'
_symmetry_Int_Tables_number 2
_cell_length_a 6.907
_cell_length_b 6.911
_cell_length_c 8.106
_cell_angle_alpha 80.38
_cell_angle_beta 80.33
_cell_angle_gamma 85.96
loop_
_symmetry_equiv_pos_as_xyz
'x,y,z'
'-x,-y,-z'
loop_
_atom_site_label
_atom_site_type_symbol
_atom_site_fract_x
_atom_site_fract_y
_atom_site_fract_z
_atom_site_occupancy
Sc1 Sc 0.012 0.307 0.425 1
Sc2 Sc 0.193 0.488 0.075 1
Pa1 Pa 0.194 0.952 0.202 1
Pa2 Pa 0.299 0.201 0.750 1
Pa3 Pa 0.451 0.694 0.702 1
Tc1 Tc 0.079 0.836 0.890 1
Tc2 Tc 0.273 0.994 0.521 1
Tc3 Tc 0.337 0.579 0.390 1
Tc4 Tc 0.494 0.773 0.020 1
```

ΔH_f (0 K) (eV/atom): -0.197
V (Å³/atom): 20.873


VASP calculation (PBE) on crystalline ScPa2Tc at its relaxed geometry.

Geometry as CIF:
```
data_ScPa2Tc
_chemical_formula_sum 'Sc4 Pa8 Tc4'
_symmetry_space_group_name_H-M 'F m -3 m'
_symmetry_Int_Tables_number 225
_symmetry_space_group_name_Hall '-F 4 2 3'
_cell_length_a 7.051
_cell_length_b 7.051
_cell_length_c 7.051
_cell_angle_alpha 90.00
_cell_angle_beta 90.00
_cell_angle_gamma 90.00
loop_
_atom_site_label
_atom_site_type_symbol
_atom_site_fract_x
_atom_site_fract_y
_atom_site_fract_z
_atom_site_occupancy
Sc1 Sc 0.000 0.000 0.000 1
Pa1 Pa 0.250 0.250 0.250 1
Tc1 Tc 0.000 0.000 0.500 1
```

Relative energy among the computed polymorphs (eV per atom): 0.116
ΔH_f (0 K) (eV/atom): 0.181
V (Å³/atom): 21.905


VASP calculation (PBE) on crystalline Sc3PaTc at its relaxed geometry.

Geometry as CIF:
```
data_Sc3PaTc
_chemical_formula_sum 'Sc12 Pa4 Tc4'
_symmetry_space_group_name_H-M 'C 1 2/m 1'
_symmetry_Int_Tables_number 12
_cell_length_a 10.896
_cell_length_b 8.232
_cell_length_c 7.249
_cell_angle_alpha 90.00
_cell_angle_beta 131.20
_cell_angle_gamma 90.00
loop_
_symmetry_equiv_pos_as_xyz
'x,y,z'
'-x,-y,-z'
'-x,y,-z'
'x,-y,z'
'x+1/2,y+1/2,z'
'-x+1/2,-y+1/2,-z'
'-x+1/2,y+1/2,-z'
'x+1/2,-y+1/2,z'
loop_
_atom_site_label
_atom_site_type_symbol
_atom_site_fract_x
_atom_site_fract_y
_atom_site_fract_z
_atom_site_occupancy
Sc1 Sc 0.056 0.000 0.348 1
Sc2 Sc 0.249 0.194 0.216 1
Pa1 Pa 0.048 0.500 0.273 1
Tc1 Tc 0.228 0.500 0.105 1
```

ΔH_f (0 K) (eV/atom): 0.000
V (Å³/atom): 24.460


VASP calculation (PBE) on crystalline ScPaTc2 at its relaxed geometry.

Geometry as CIF:
```
data_ScPaTc2
_chemical_formula_sum 'Sc4 Pa4 Tc8'
_symmetry_space_group_name_H-M 'F m -3 m'
_symmetry_Int_Tables_number 225
_symmetry_space_group_name_Hall '-F 4 2 3'
_cell_length_a 6.674
_cell_length_b 6.674
_cell_length_c 6.674
_cell_angle_alpha 90.00
_cell_angle_beta 90.00
_cell_angle_gamma 90.00
loop_
_atom_site_label
_atom_site_type_symbol
_atom_site_fract_x
_atom_site_fract_y
_atom_site_fract_z
_atom_site_occupancy
Sc1 Sc 0.000 0.000 0.000 1
Pa1 Pa 0.000 0.000 0.500 1
Tc1 Tc 0.250 0.250 0.250 1
```

Relative energy among the computed polymorphs (eV per atom): 0.000
ΔH_f (0 K) (eV/atom): -0.343
V (Å³/atom): 18.579


VASP calculation (PBE) on crystalline ScPa3Tc4 at its relaxed geometry.

Geometry as CIF:
```
data_ScPa3Tc4
_chemical_formula_sum 'Sc3 Pa9 Tc12'
_symmetry_space_group_name_H-M 'R -3 m'
_symmetry_Int_Tables_number 166
_symmetry_space_group_name_Hall '-R 3 2"'
_cell_length_a 4.9240
_cell_length_b 4.9240
_cell_length_c 22.5815
_cell_angle_alpha 90.00
_cell_angle_beta 90.00
_cell_angle_gamma 120.00
loop_
_atom_site_label
_atom_site_type_symbol
_atom_site_fract_x
_atom_site_fract_y
_atom_site_fract_z
_atom_site_occupancy
Sc1 Sc 0.0000 0.0000 0.0000 1
Pa1 Pa 0.0000 0.0000 0.2540 1
Pa2 Pa 0.0000 0.0000 0.5000 1
Tc1 Tc 0.0000 0.0000 0.1287 1
Tc2 Tc 0.0000 0.0000 0.3796 1
```

ΔH_f (0 K) (eV/atom): -0.253
V (Å³/atom): 19.757


VASP calculation (PBE) on crystalline Sc2Pa2Tc3 at its relaxed geometry.

Geometry as CIF:
```
data_Sc2Pa2Tc3
_chemical_formula_sum 'Sc2 Pa2 Tc3'
_symmetry_space_group_name_H-M 'P -1'
_symmetry_Int_Tables_number 2
_cell_length_a 3.304
_cell_length_b 5.946
_cell_length_c 7.368
_cell_angle_alpha 95.03
_cell_angle_beta 95.32
_cell_angle_gamma 98.13
loop_
_symmetry_equiv_pos_as_xyz
'x,y,z'
'-x,-y,-z'
loop_
_atom_site_label
_atom_site_type_symbol
_atom_site_fract_x
_atom_site_fract_y
_atom_site_fract_z
_atom_site_occupancy
Sc1 Sc 0.219 0.376 0.157 1
Pa1 Pa 0.084 0.141 0.710 1
Tc1 Tc 0.270 0.701 0.544 1
Tc2 Tc 0.500 0.000 0.000 1
```

ΔH_f (0 K) (eV/atom): -0.181
V (Å³/atom): 20.275


VASP calculation (PBE) on crystalline Sc2PaTc2 at its relaxed geometry.

Geometry as CIF:
```
data_Sc2PaTc2
_chemical_formula_sum 'Sc4 Pa2 Tc4'
_symmetry_space_group_name_H-M 'C m m m'
_symmetry_Int_Tables_number 65
_symmetry_space_group_name_Hall '-C 2 2'
_cell_length_a 3.342
_cell_length_b 19.225
_cell_length_c 3.310
_cell_angle_alpha 90.00
_cell_angle_beta 90.00
_cell_angle_gamma 90.00
loop_
_atom_site_label
_atom_site_type_symbol
_atom_site_fract_x
_atom_site_fract_y
_atom_site_fract_z
_atom_site_occupancy
Sc1 Sc 0.000 0.172 0.000 1
Pa1 Pa 0.000 0.000 0.000 1
Tc1 Tc 0.000 0.413 0.500 1
```

ΔH_f (0 K) (eV/atom): -0.166
V (Å³/atom): 21.270


The calculation returns the following uncorrected energy values, one per record and in order: -6.53 -6.12 -6.63 -5.93 -9.45 -9.38 -8.74 -7.77 -9.48 -9.79 -9.15 -8.74 eV/atom.